Entry from Alexandria via LeMat-Bulk: Cs2CrHgO4 after structural relaxation (GGA+U).

The structure in POSCAR format:
```
Cs2CrHgO4
1.0
-3.8136 3.8136 3.7616
3.8136 -3.8136 3.7616
3.8136 3.8136 -3.7616
Cs Cr Hg O
2 1 1 4
Direct
0.0000 0.0000 0.0000 Cs
0.7500 0.2500 0.5000 Cs
0.2500 0.7500 0.5000 Cr
0.5000 0.5000 0.0000 Hg
0.0155 0.4754 0.2520 O
0.2234 0.7635 0.7480 O
0.2365 0.9845 0.4600 O
0.5246 0.7766 0.5400 O
```

Computed properties:
E: -5.054 eV per atom
SG: No. 82
calculated volume: 27.354 Å³/atom
spin magnetization: 0.00 μB/atom
calculated density: 4.42 g/cm³